1.
FeP2Au: relaxed, PBE.

Unit cell a=2.8915 b=2.7585 c=7.4439 alpha=89.98 beta=90.00 gamma=90.00
Sites, in units of the cell vectors:
Fe 0.5000 0.7501 0.9772
Au 0.0000 0.2496 0.4916
P 0.0000 0.2504 0.8183
P 0.5000 0.2499 0.2129

Properties
- density of states at the Fermi level (states/eV/cell) = 2.17
- energy relative to the elements (meV per atom) = -107
- calculated volume (Å³/cell) = 59
- distance to the lowest polymorph of the same formula (meV per atom) = 19.0
- final energy (eV/atom) = -5.75


2.
FePAu: relaxed, PBE.

Unit cell a=7.8712 b=2.9165 c=7.6970 alpha=90.00 beta=106.23 gamma=90.00
Each line ends with the local moment (μB).
Sites, in units of the cell vectors:
P 0.9132 0.0000 0.3400  -0.01
P 0.0868 0.5000 0.1600  -0.01
P 0.9132 0.5000 0.8400  -0.01
P 0.0868 0.0000 0.6600  -0.01
Fe 0.1504 0.0000 0.9652  0.34
Fe 0.8496 0.0000 0.0348  0.34
Fe 0.8496 0.5000 0.5348  0.34
Fe 0.1504 0.5000 0.4652  0.34
Au 0.3866 0.0000 0.3309  -0.01
Au 0.6134 0.0000 0.6691  -0.01
Au 0.3866 0.5000 0.8309  -0.01
Au 0.6134 0.5000 0.1691  -0.01

Properties
- density of states at the Fermi level (states/eV/cell) = 7.33
- energy relative to the elements (meV per atom) = -26
- calculated volume (Å³/cell) = 170
- final energy (eV/atom) = -5.74


3.
FePAu3: relaxed, PBE.

Unit cell a=4.6854 b=4.6854 c=4.6854 alpha=90.00 beta=90.00 gamma=90.00
Each line ends with the local moment (μB).
Sites, in units of the cell vectors:
P 0.0000 0.0000 0.0000  -0.01
Au 0.5000 0.0000 0.0000  -0.01
Au 0.0000 0.5000 0.0000  -0.04
Au 0.0000 0.0000 0.5000  -0.07
Fe 0.5000 0.5000 0.5000  3.13

Properties
- density of states at the Fermi level (states/eV/cell) = 9.26
- energy relative to the elements (meV per atom) = 681
- calculated volume (Å³/cell) = 103
- distance to the lowest polymorph of the same formula (meV per atom) = 0.0
- final energy (eV/atom) = -4.06


4.
FePAu: relaxed, PBE.

Unit cell a=5.4671 b=5.4672 c=2.8843 alpha=74.70 beta=74.71 gamma=30.59
Sites, in units of the cell vectors:
Fe 0.2963 0.2962 0.7037
P 0.7049 0.7049 0.2951
Au 0.9988 0.9988 0.0012

Properties
- density of states at the Fermi level (states/eV/cell) = 1.51
- energy relative to the elements (meV per atom) = 71
- calculated volume (Å³/cell) = 42
- final energy (eV/atom) = -5.65


5.
FeP3Au: relaxed, PBE.

Unit cell a=4.3610 b=4.3610 c=4.3610 alpha=90.00 beta=90.00 gamma=90.00
Sites, in units of the cell vectors:
P 0.5000 0.0000 0.0000
P 0.0000 0.0000 0.5000
P 0.0000 0.5000 0.0000
Fe 0.0000 0.0000 0.0000
Au 0.5000 0.5000 0.5000

Properties
- density of states at the Fermi level (states/eV/cell) = 4.24
- energy relative to the elements (meV per atom) = 558
- calculated volume (Å³/cell) = 83
- distance to the lowest polymorph of the same formula (meV per atom) = 0.0
- final energy (eV/atom) = -5.04


6.
FePAu: relaxed, PBE.

Unit cell a=2.8418 b=5.7935 c=5.2152 alpha=90.00 beta=90.00 gamma=90.00
Sites, in units of the cell vectors:
Fe 0.5000 0.1182 0.2868
Fe 0.5000 0.8818 0.7868
P 0.0000 0.1399 0.6244
P 0.0000 0.8601 0.1244
Au 0.0000 0.5738 0.4690
Au 0.0000 0.4262 0.9690

Properties
- density of states at the Fermi level (states/eV/cell) = 3.42
- energy relative to the elements (meV per atom) = -25
- calculated volume (Å³/cell) = 86
- final energy (eV/atom) = -5.74


7.
Fe4PAu: relaxed, PBE.

Unit cell a=4.8377 b=4.8377 c=4.8377 alpha=60.00 beta=60.00 gamma=60.00
Each line ends with the local moment (μB).
Sites, in units of the cell vectors:
Fe 0.8733 0.3756 0.3756  2.41
Fe 0.3756 0.3756 0.3756  2.41
Fe 0.3756 0.3756 0.8733  2.41
Fe 0.3756 0.8733 0.3756  2.41
Au 0.0000 0.0000 0.0000  0.08
P 0.7500 0.7500 0.7500  0.01

Properties
- density of states at the Fermi level (states/eV/cell) = 4.90
- energy relative to the elements (meV per atom) = 345
- calculated volume (Å³/cell) = 80
- final energy (eV/atom) = -6.74


8.
FeP2Au: relaxed, PBE.

Unit cell a=4.3089 b=4.3089 c=4.3089 alpha=60.00 beta=60.00 gamma=60.00
Sites, in units of the cell vectors:
P 0.7500 0.7500 0.7500
P 0.2500 0.2500 0.2500
Au 0.5000 0.5000 0.5000
Fe 0.0000 0.0000 0.0000

Properties
- density of states at the Fermi level (states/eV/cell) = 6.80
- energy relative to the elements (meV per atom) = 564
- calculated volume (Å³/cell) = 57
- distance to the lowest polymorph of the same formula (meV per atom) = 690.1
- final energy (eV/atom) = -5.08


9.
FePAu: relaxed, PBE.

Unit cell a=3.0613 b=10.6483 c=5.3591 alpha=90.00 beta=90.00 gamma=90.00
Each line ends with the local moment (μB).
Sites, in units of the cell vectors:
Fe 0.5000 0.4672 0.6146  0.27
Fe 0.5000 0.5328 0.1146  0.27
Fe 0.0000 0.9672 0.6146  0.27
Fe 0.0000 0.0328 0.1146  0.27
Au 0.0000 0.2151 0.4606  -0.01
Au 0.5000 0.7151 0.4606  -0.01
Au 0.0000 0.7849 0.9606  -0.01
Au 0.5000 0.2849 0.9606  -0.01
P 0.0000 0.5746 0.8050  -0.01
P 0.0000 0.4254 0.3050  -0.01
P 0.5000 0.0746 0.8050  -0.01
P 0.5000 0.9254 0.3050  -0.01

Properties
- density of states at the Fermi level (states/eV/cell) = 7.16
- energy relative to the elements (meV per atom) = -12
- calculated volume (Å³/cell) = 175
- final energy (eV/atom) = -5.73


10.
FePAu: relaxed, PBE.

Unit cell a=5.5496 b=2.7982 c=12.2900 alpha=90.00 beta=105.59 gamma=90.00
Each line ends with the local moment (μB).
Sites, in units of the cell vectors:
Fe 0.8090 0.0000 0.2952  -0.40
Fe 0.9693 0.0000 0.5131  1.11
Fe 0.9693 0.5000 0.0131  1.11
Fe 0.8090 0.5000 0.7952  -0.40
P 0.0912 0.5000 0.3817  -0.01
P 0.8758 0.0000 0.1339  -0.03
P 0.8758 0.5000 0.6339  -0.03
P 0.0912 0.0000 0.8817  -0.01
Au 0.3879 0.0000 0.1371  0.01
Au 0.3879 0.5000 0.6371  0.01
Au 0.5315 0.0000 0.9088  0.00
Au 0.5315 0.5000 0.4088  0.00

Properties
- density of states at the Fermi level (states/eV/cell) = 8.03
- energy relative to the elements (meV per atom) = -34
- calculated volume (Å³/cell) = 184
- final energy (eV/atom) = -5.75


11.
FePAu: relaxed, PBE.

Unit cell a=3.7046 b=3.7046 c=3.6221 alpha=90.00 beta=90.00 gamma=120.00
Sites, in units of the cell vectors:
Au 0.0000 0.0000 0.9921
P 0.3333 0.6667 0.5329
Fe 0.6667 0.3333 0.4750

Properties
- density of states at the Fermi level (states/eV/cell) = 1.98
- energy relative to the elements (meV per atom) = 20
- calculated volume (Å³/cell) = 43
- final energy (eV/atom) = -5.70


12.
FeP2Au: relaxed, PBE.

Unit cell a=3.7547 b=4.3283 c=4.2522 alpha=101.92 beta=90.00 gamma=90.00
Each line ends with the local moment (μB).
Sites, in units of the cell vectors:
P 0.0000 0.0350 0.8499  -0.03
P 0.0000 0.4650 0.6501  -0.03
Fe 0.5000 0.7500 0.7500  1.29
Au 0.5000 0.2500 0.2500  0.00

Properties
- density of states at the Fermi level (states/eV/cell) = 2.27
- energy relative to the elements (meV per atom) = 136
- calculated volume (Å³/cell) = 68
- distance to the lowest polymorph of the same formula (meV per atom) = 262.0
- final energy (eV/atom) = -5.50


13.
FePAu: relaxed, PBE.

Unit cell a=2.8948 b=2.8948 c=6.2067 alpha=90.00 beta=90.00 gamma=120.00
Each line ends with the local moment (μB).
Sites, in units of the cell vectors:
P 0.3333 0.6667 0.6090  -0.05
Fe 0.6667 0.3333 0.3727  1.80
Au 0.0000 0.0000 0.0183  0.04

Properties
- density of states at the Fermi level (states/eV/cell) = 2.07
- energy relative to the elements (meV per atom) = 78
- calculated volume (Å³/cell) = 45
- final energy (eV/atom) = -5.64


14.
FeP2Au: relaxed, PBE.

Unit cell a=7.7973 b=7.7973 c=7.7973 alpha=22.07 beta=22.07 gamma=22.07
Each line ends with the local moment (μB).
Sites, in units of the cell vectors:
P 0.0164 0.0164 0.0164  0.00
P 0.4836 0.4836 0.4836  0.00
Au 0.2500 0.2500 0.2500  0.03
Fe 0.7500 0.7500 0.7500  1.44

Properties
- density of states at the Fermi level (states/eV/cell) = 2.12
- energy relative to the elements (meV per atom) = 69
- calculated volume (Å³/cell) = 59
- distance to the lowest polymorph of the same formula (meV per atom) = 195.6
- final energy (eV/atom) = -5.57


15.
FeP2Au: relaxed, PBE.

Unit cell a=3.6194 b=3.6194 c=7.6758 alpha=110.55 beta=110.55 gamma=44.41
Sites, in units of the cell vectors:
Fe 0.2500 0.2500 0.2500
Au 0.7500 0.7500 0.7500
P 0.6158 0.6158 0.4110
P 0.8842 0.8842 0.0890

Properties
- density of states at the Fermi level (states/eV/cell) = 3.08
- energy relative to the elements (meV per atom) = -126
- calculated volume (Å³/cell) = 65
- distance to the lowest polymorph of the same formula (meV per atom) = 0.0
- final energy (eV/atom) = -5.77


16.
FeP2Au: relaxed, PBE.

Unit cell a=5.3978 b=5.3978 c=6.3223 alpha=64.73 beta=64.73 gamma=90.00
Sites, in units of the cell vectors:
Fe 0.5000 0.5000 0.0000
Fe 0.2500 0.7500 0.5000
P 0.3750 0.4278 0.7500
P 0.8750 0.8222 0.7500
P 0.5722 0.1250 0.2500
P 0.1778 0.6250 0.2500
Au 0.7500 0.2500 0.5000
Au 0.0000 0.0000 0.0000

Properties
- density of states at the Fermi level (states/eV/cell) = 4.60
- energy relative to the elements (meV per atom) = 45
- calculated volume (Å³/cell) = 147
- distance to the lowest polymorph of the same formula (meV per atom) = 171.4
- final energy (eV/atom) = -5.59


17.
Fe2PAu2: relaxed, PBE.

Unit cell a=5.6766 b=5.6766 c=4.4826 alpha=90.00 beta=90.00 gamma=90.00
Each line ends with the local moment (μB).
Sites, in units of the cell vectors:
Au 0.3284 0.1716 0.5000  0.00
Au 0.6716 0.8284 0.5000  0.00
Au 0.8284 0.3284 0.5000  -0.01
Au 0.1716 0.6716 0.5000  -0.01
P 0.5000 0.5000 0.0000  -0.09
P 0.0000 0.0000 0.0000  -0.09
Fe 0.1444 0.3556 0.0000  1.00
Fe 0.8556 0.6444 0.0000  1.00
Fe 0.3556 0.8556 0.0000  1.02
Fe 0.6444 0.1444 0.0000  1.02

Properties
- density of states at the Fermi level (states/eV/cell) = 8.08
- energy relative to the elements (meV per atom) = 83
- calculated volume (Å³/cell) = 144
- final energy (eV/atom) = -5.69


18.
FeP2Au: relaxed, PBE.

Unit cell a=2.7723 b=2.7723 c=7.5690 alpha=90.00 beta=90.00 gamma=90.00
Each line ends with the local moment (μB).
Sites, in units of the cell vectors:
Au 0.0000 0.0000 0.5211  0.02
P 0.0000 0.0000 0.9407  -0.01
P 0.5000 0.5000 0.2433  0.00
Fe 0.5000 0.5000 0.7948  0.23

Properties
- density of states at the Fermi level (states/eV/cell) = 3.61
- energy relative to the elements (meV per atom) = 267
- calculated volume (Å³/cell) = 58
- distance to the lowest polymorph of the same formula (meV per atom) = 392.8
- final energy (eV/atom) = -5.37


19.
FePAu4: relaxed, PBE.

Unit cell a=5.4542 b=5.4542 c=5.4542 alpha=60.00 beta=60.00 gamma=60.00
Each line ends with the local moment (μB).
Sites, in units of the cell vectors:
Fe 0.2500 0.2500 0.2500  3.32
Au 0.6248 0.6248 0.1255  0.03
Au 0.6248 0.1255 0.6248  0.03
Au 0.1255 0.6248 0.6248  0.03
Au 0.6248 0.6248 0.6248  0.03
P 0.0000 0.0000 0.0000  0.00

Properties
- density of states at the Fermi level (states/eV/cell) = 6.96
- energy relative to the elements (meV per atom) = 612
- calculated volume (Å³/cell) = 115
- final energy (eV/atom) = -3.89


20.
FeP2Au: relaxed, PBE.

Unit cell a=5.9131 b=5.9131 c=5.9131 alpha=153.25 beta=134.45 gamma=53.61
Each line ends with the local moment (μB).
Sites, in units of the cell vectors:
P 0.4192 0.4192 0.0000  -0.04
P 0.0808 0.0808 0.0000  -0.04
Fe 0.2500 0.7500 0.5000  1.36
Au 0.7500 0.2500 0.5000  0.00

Properties
- density of states at the Fermi level (states/eV/cell) = 1.80
- energy relative to the elements (meV per atom) = 211
- calculated volume (Å³/cell) = 66
- distance to the lowest polymorph of the same formula (meV per atom) = 337.0
- final energy (eV/atom) = -5.43